1.
Below is an optimized crystal structure of CoTcW, with properties calculated at the GGA-PBEsol level.

```
data_CoTcW
_chemical_formula_sum 'Co2 Tc2 W2'
_symmetry_space_group_name_H-M 'I 4 m m'
_symmetry_Int_Tables_number 107
_symmetry_space_group_name_Hall 'I 4 -2'
_cell_length_a 3.1142
_cell_length_b 3.1142
_cell_length_c 8.3832
_cell_angle_alpha 90.00
_cell_angle_beta 90.00
_cell_angle_gamma 90.00
loop_
_atom_site_label
_atom_site_type_symbol
_atom_site_fract_x
_atom_site_fract_y
_atom_site_fract_z
_atom_site_occupancy
Co1 Co 0.0000 0.0000 0.0000 1
Tc1 Tc 0.0000 0.0000 0.6730 1
W1 W 0.0000 0.0000 0.3398 1
```

Calculated formation energy (meV/atom): 186
ΔE to the lowest computed polymorph (eV per formula unit): 0.00
Size of the total moment (Bohr magnetons per cell): 3.57
E_tot (eV/cell): -64.51
Density of states at the Fermi level (states/eV per atom): 1.09

---

2.
Below is an optimized crystal structure of YCo2Tc, with properties calculated at the GGA-PBEsol level.

```
data_YCo2Tc
_chemical_formula_sum 'Y1 Co2 Tc1'
_symmetry_space_group_name_H-M 'P m m m'
_symmetry_Int_Tables_number 47
_cell_length_a 2.7815
_cell_length_b 3.2832
_cell_length_c 6.4598
_cell_angle_alpha 90.00
_cell_angle_beta 90.00
_cell_angle_gamma 90.00
loop_
_symmetry_equiv_pos_as_xyz
'x,y,z'
'-x,-y,-z'
'-x,-y,z'
'x,y,-z'
'x,-y,-z'
'-x,y,z'
'-x,y,-z'
'x,-y,z'
loop_
_atom_site_label
_atom_site_type_symbol
_atom_site_fract_x
_atom_site_fract_y
_atom_site_fract_z
_atom_site_occupancy
Y1 Y 0.0000 0.0000 0.0000 1
Co1 Co 0.5000 0.5000 0.3084 1
Tc1 Tc 0.0000 0.0000 0.5000 1
```

Calculated formation energy (meV/atom): 158
Size of the total moment (Bohr magnetons per cell): 0.00
E_tot (eV/cell): -32.93
Density of states at the Fermi level (states/eV per atom): 1.38

---

3.
Below is an optimized crystal structure of Y2CoTc, with properties calculated at the GGA-PBEsol level.

```
data_Y2CoTc
_chemical_formula_sum 'Y4 Co2 Tc2'
_symmetry_space_group_name_H-M 'A m m 2'
_symmetry_Int_Tables_number 38
_cell_length_a 3.9561
_cell_length_b 4.3104
_cell_length_c 9.8716
_cell_angle_alpha 90.00
_cell_angle_beta 90.00
_cell_angle_gamma 90.00
loop_
_symmetry_equiv_pos_as_xyz
'x,y,z'
'-x,-y,z'
'-x,y,z'
'x,-y,z'
'x,y+1/2,z+1/2'
'-x,-y+1/2,z+1/2'
'-x,y+1/2,z+1/2'
'x,-y+1/2,z+1/2'
loop_
_atom_site_label
_atom_site_type_symbol
_atom_site_fract_x
_atom_site_fract_y
_atom_site_fract_z
_atom_site_occupancy
Y1 Y 0.0000 0.0000 0.0000 1
Y2 Y 0.5000 0.0000 0.2962 1
Co1 Co 0.0000 0.0000 0.7042 1
Tc1 Tc 0.5000 0.0000 0.6014 1
```

Calculated formation energy (meV/atom): -57
Size of the total moment (Bohr magnetons per cell): 0.00
E_tot (eV/cell): -65.75
Density of states at the Fermi level (states/eV per atom): 0.93

---

4.
Below is an optimized crystal structure of YCoTc, with properties calculated at the GGA-PBEsol level.

```
data_YCoTc
_chemical_formula_sum 'Y1 Co1 Tc1'
_symmetry_space_group_name_H-M 'P -6 m 2'
_symmetry_Int_Tables_number 187
_symmetry_space_group_name_Hall 'P -6 2'
_cell_length_a 3.8975
_cell_length_b 3.8975
_cell_length_c 4.1929
_cell_angle_alpha 90.00
_cell_angle_beta 90.00
_cell_angle_gamma 120.00
loop_
_atom_site_label
_atom_site_type_symbol
_atom_site_fract_x
_atom_site_fract_y
_atom_site_fract_z
_atom_site_occupancy
Y1 Y 0.0000 0.0000 0.0000 1
Co1 Co 0.3333 0.6667 0.5000 1
Tc1 Tc 0.6667 0.3333 0.5000 1
```

Calculated formation energy (meV/atom): 43
ΔE to the lowest computed polymorph (eV per formula unit): 0.00
Size of the total moment (Bohr magnetons per cell): 0.00
E_tot (eV/cell): -25.70
Density of states at the Fermi level (states/eV per atom): 0.84

---

5.
Below is an optimized crystal structure of Y4CoTc, with properties calculated at the GGA-PBEsol level.

```
data_Y4CoTc
_chemical_formula_sum 'Y16 Co4 Tc4'
_symmetry_space_group_name_H-M 'F -4 3 m'
_symmetry_Int_Tables_number 216
_symmetry_space_group_name_Hall 'F -4 2 3'
_cell_length_a 8.2072
_cell_length_b 8.2072
_cell_length_c 8.2072
_cell_angle_alpha 90.00
_cell_angle_beta 90.00
_cell_angle_gamma 90.00
loop_
_atom_site_label
_atom_site_type_symbol
_atom_site_fract_x
_atom_site_fract_y
_atom_site_fract_z
_atom_site_occupancy
Y1 Y 0.1246 0.1246 0.1246 1
Co1 Co 0.0000 0.0000 0.5000 1
Tc1 Tc 0.2500 0.2500 0.7500 1
```

Calculated formation energy (meV/atom): 1168
Size of the total moment (Bohr magnetons per cell): 4.67
E_tot (eV/cell): -157.14
Density of states at the Fermi level (states/eV per atom): 1.63

---

6.
Below is an optimized crystal structure of YCoTc, with properties calculated at the GGA-PBEsol level.

```
data_YCoTc
_chemical_formula_sum 'Y4 Co4 Tc4'
_symmetry_space_group_name_H-M 'F -4 3 m'
_symmetry_Int_Tables_number 216
_symmetry_space_group_name_Hall 'F -4 2 3'
_cell_length_a 6.1291
_cell_length_b 6.1291
_cell_length_c 6.1291
_cell_angle_alpha 90.00
_cell_angle_beta 90.00
_cell_angle_gamma 90.00
loop_
_atom_site_label
_atom_site_type_symbol
_atom_site_fract_x
_atom_site_fract_y
_atom_site_fract_z
_atom_site_occupancy
Y1 Y 0.0000 0.0000 0.0000 1
Co1 Co 0.2500 0.2500 0.2500 1
Tc1 Tc 0.2500 0.2500 0.7500 1
```

Calculated formation energy (meV/atom): 1389
ΔE to the lowest computed polymorph (eV per formula unit): 4.04
Size of the total moment (Bohr magnetons per cell): 11.72
E_tot (eV/cell): -86.64
Density of states at the Fermi level (states/eV per atom): 1.13

---

7.
Below is an optimized crystal structure of ZnCoTc2, with properties calculated at the GGA-PBEsol level.

```
data_ZnCoTc2
_chemical_formula_sum 'Zn4 Co4 Tc8'
_symmetry_space_group_name_H-M 'F -4 3 m'
_symmetry_Int_Tables_number 216
_symmetry_space_group_name_Hall 'F -4 2 3'
_cell_length_a 5.9119
_cell_length_b 5.9119
_cell_length_c 5.9119
_cell_angle_alpha 90.00
_cell_angle_beta 90.00
_cell_angle_gamma 90.00
loop_
_atom_site_label
_atom_site_type_symbol
_atom_site_fract_x
_atom_site_fract_y
_atom_site_fract_z
_atom_site_occupancy
Zn1 Zn 0.0000 0.0000 0.0000 1
Co1 Co 0.2500 0.2500 0.7500 1
Tc1 Tc 0.0000 0.0000 0.5000 1
Tc2 Tc 0.2500 0.2500 0.2500 1
```

Calculated formation energy (meV/atom): 173
Size of the total moment (Bohr magnetons per cell): 4.61
E_tot (eV/cell): -124.64
Density of states at the Fermi level (states/eV per atom): 1.09

---

8.
Below is an optimized crystal structure of ZnCoTc2, with properties calculated at the GGA-PBEsol level.

```
data_ZnCoTc2
_chemical_formula_sum 'Zn2 Co2 Tc4'
_symmetry_space_group_name_H-M 'I 4/m m m'
_symmetry_Int_Tables_number 139
_symmetry_space_group_name_Hall '-I 4 2'
_cell_length_a 3.5660
_cell_length_b 3.5660
_cell_length_c 7.9687
_cell_angle_alpha 90.00
_cell_angle_beta 90.00
_cell_angle_gamma 90.00
loop_
_atom_site_label
_atom_site_type_symbol
_atom_site_fract_x
_atom_site_fract_y
_atom_site_fract_z
_atom_site_occupancy
Zn1 Zn 0.0000 0.0000 0.0000 1
Co1 Co 0.0000 0.0000 0.5000 1
Tc1 Tc 0.0000 0.5000 0.2500 1
```

Calculated formation energy (meV/atom): 97
Size of the total moment (Bohr magnetons per cell): 0.01
E_tot (eV/cell): -62.93
Density of states at the Fermi level (states/eV per atom): 0.86

---

9.
Below is an optimized crystal structure of ZnCoTc2, with properties calculated at the GGA-PBEsol level.

```
data_ZnCoTc2
_chemical_formula_sum 'Zn1 Co1 Tc2'
_symmetry_space_group_name_H-M 'P 4/m m m'
_symmetry_Int_Tables_number 123
_symmetry_space_group_name_Hall '-P 4 2'
_cell_length_a 3.5675
_cell_length_b 3.5675
_cell_length_c 4.0013
_cell_angle_alpha 90.00
_cell_angle_beta 90.00
_cell_angle_gamma 90.00
loop_
_atom_site_label
_atom_site_type_symbol
_atom_site_fract_x
_atom_site_fract_y
_atom_site_fract_z
_atom_site_occupancy
Zn1 Zn 0.0000 0.0000 0.0000 1
Co1 Co 0.5000 0.5000 0.0000 1
Tc1 Tc 0.0000 0.5000 0.5000 1
```

Calculated formation energy (meV/atom): 172
Size of the total moment (Bohr magnetons per cell): 0.01
E_tot (eV/cell): -31.17
Density of states at the Fermi level (states/eV per atom): 1.07

---

10.
Below is an optimized crystal structure of ZrCoTc2, with properties calculated at the GGA-PBEsol level.

```
data_ZrCoTc2
_chemical_formula_sum 'Zr2 Co2 Tc4'
_symmetry_space_group_name_H-M 'C 1 2/m 1'
_symmetry_Int_Tables_number 12
_cell_length_a 5.2410
_cell_length_b 8.8044
_cell_length_c 2.7103
_cell_angle_alpha 90.00
_cell_angle_beta 110.96
_cell_angle_gamma 90.00
loop_
_symmetry_equiv_pos_as_xyz
'x,y,z'
'-x,-y,-z'
'-x,y,-z'
'x,-y,z'
'x+1/2,y+1/2,z'
'-x+1/2,-y+1/2,-z'
'-x+1/2,y+1/2,-z'
'x+1/2,-y+1/2,z'
loop_
_atom_site_label
_atom_site_type_symbol
_atom_site_fract_x
_atom_site_fract_y
_atom_site_fract_z
_atom_site_occupancy
Zr1 Zr 0.0000 0.0000 0.0000 1
Co1 Co 0.0000 0.5000 0.0000 1
Tc1 Tc 0.2500 0.2500 0.5000 1
```

Calculated formation energy (meV/atom): 92
ΔE to the lowest computed polymorph (eV per formula unit): 0.00
Size of the total moment (Bohr magnetons per cell): 2.88
E_tot (eV/cell): -77.98
Density of states at the Fermi level (states/eV per atom): 1.14

---

11.
Below is an optimized crystal structure of ZrCo4Tc, with properties calculated at the GGA-PBEsol level.

```
data_ZrCo4Tc
_chemical_formula_sum 'Zr4 Co16 Tc4'
_symmetry_space_group_name_H-M 'F -4 3 m'
_symmetry_Int_Tables_number 216
_symmetry_space_group_name_Hall 'F -4 2 3'
_cell_length_a 6.6902
_cell_length_b 6.6902
_cell_length_c 6.6902
_cell_angle_alpha 90.00
_cell_angle_beta 90.00
_cell_angle_gamma 90.00
loop_
_atom_site_label
_atom_site_type_symbol
_atom_site_fract_x
_atom_site_fract_y
_atom_site_fract_z
_atom_site_occupancy
Zr1 Zr 0.0000 0.0000 0.0000 1
Co1 Co 0.1247 0.1247 0.6247 1
Tc1 Tc 0.2500 0.2500 0.2500 1
```

Calculated formation energy (meV/atom): -115
Size of the total moment (Bohr magnetons per cell): 24.94
E_tot (eV/cell): -207.98
Density of states at the Fermi level (states/eV per atom): 1.44

---

12.
Below is an optimized crystal structure of ZrCoTc2, with properties calculated at the GGA-PBEsol level.

```
data_ZrCoTc2
_chemical_formula_sum 'Zr4 Co4 Tc8'
_symmetry_space_group_name_H-M 'F m -3 m'
_symmetry_Int_Tables_number 225
_symmetry_space_group_name_Hall '-F 4 2 3'
_cell_length_a 6.1685
_cell_length_b 6.1685
_cell_length_c 6.1685
_cell_angle_alpha 90.00
_cell_angle_beta 90.00
_cell_angle_gamma 90.00
loop_
_atom_site_label
_atom_site_type_symbol
_atom_site_fract_x
_atom_site_fract_y
_atom_site_fract_z
_atom_site_occupancy
Zr1 Zr 0.0000 0.0000 0.0000 1
Co1 Co 0.0000 0.0000 0.5000 1
Tc1 Tc 0.2500 0.2500 0.2500 1
```

Calculated formation energy (meV/atom): 156
ΔE to the lowest computed polymorph (eV per formula unit): 0.26
Size of the total moment (Bohr magnetons per cell): 12.36
E_tot (eV/cell): -154.94
Density of states at the Fermi level (states/eV per atom): 0.96

---

13.
Below is an optimized crystal structure of ZrCo3Tc, with properties calculated at the GGA-PBEsol level.

```
data_ZrCo3Tc
_chemical_formula_sum 'Zr1 Co3 Tc1'
_symmetry_space_group_name_H-M 'P m -3 m'
_symmetry_Int_Tables_number 221
_symmetry_space_group_name_Hall '-P 4 2 3'
_cell_length_a 4.2954
_cell_length_b 4.2954
_cell_length_c 4.2954
_cell_angle_alpha 90.00
_cell_angle_beta 90.00
_cell_angle_gamma 90.00
loop_
_atom_site_label
_atom_site_type_symbol
_atom_site_fract_x
_atom_site_fract_y
_atom_site_fract_z
_atom_site_occupancy
Zr1 Zr 0.0000 0.0000 0.0000 1
Co1 Co 0.0000 0.5000 0.5000 1
Tc1 Tc 0.5000 0.5000 0.5000 1
```

Calculated formation energy (meV/atom): 910
Size of the total moment (Bohr magnetons per cell): 0.00
E_tot (eV/cell): -39.02
Density of states at the Fermi level (states/eV per atom): 1.31

---

14.
Below is an optimized crystal structure of ZrCoTc2, with properties calculated at the GGA-PBEsol level.

```
data_ZrCoTc2
_chemical_formula_sum 'Zr2 Co2 Tc4'
_symmetry_space_group_name_H-M 'I 4/m m m'
_symmetry_Int_Tables_number 139
_symmetry_space_group_name_Hall '-I 4 2'
_cell_length_a 3.7630
_cell_length_b 3.7630
_cell_length_c 8.2422
_cell_angle_alpha 90.00
_cell_angle_beta 90.00
_cell_angle_gamma 90.00
loop_
_atom_site_label
_atom_site_type_symbol
_atom_site_fract_x
_atom_site_fract_y
_atom_site_fract_z
_atom_site_occupancy
Zr1 Zr 0.0000 0.0000 0.0000 1
Co1 Co 0.0000 0.0000 0.5000 1
Tc1 Tc 0.0000 0.5000 0.2500 1
```

Calculated formation energy (meV/atom): 109
ΔE to the lowest computed polymorph (eV per formula unit): 0.07
Size of the total moment (Bohr magnetons per cell): 0.00
E_tot (eV/cell): -77.85
Density of states at the Fermi level (states/eV per atom): 1.18